(1)
Below is crystalline Na4B7C at its relaxed geometry, with properties calculated at the GGA-PBE level.

Lattice parameters (Å, degrees): 5.279 5.816 8.655 90.00 90.00 90.00
Atoms (fractional coordinates):
Na 0.001 0.000 0.997
Na 0.001 0.000 0.503
Na 0.500 0.250 0.000
Na 0.500 0.750 0.000
Na 0.999 0.500 0.497
Na 0.999 0.500 0.003
Na 0.500 0.750 0.500
Na 0.500 0.250 0.500
B 0.823 0.263 0.750
B 0.667 0.000 0.750
B 0.846 0.756 0.250
B 0.346 0.000 0.750
B 0.177 0.763 0.250
B 0.177 0.237 0.250
B 0.154 0.256 0.750
B 0.154 0.744 0.750
B 0.366 0.500 0.750
B 0.634 0.000 0.250
B 0.333 0.500 0.250
B 0.846 0.244 0.250
B 0.823 0.737 0.750
B 0.654 0.500 0.250
C 0.665 0.500 0.750
C 0.335 0.000 0.250

## Properties
Excess energy over the best structure of this formula in the dataset in eV per atom: 0.0190
Energy relative to the elements in meV per atom: 241

(2)
Below is crystalline V2GeS4 at its relaxed geometry, with properties calculated at the GGA-PBE level.

Lattice parameters (Å, degrees): 3.313 5.787 7.412 117.61 102.91 90.00
Atoms (fractional coordinates):
Ge 0.000 0.000 0.000
V 0.259 0.204 0.518
V 0.741 0.796 0.482
S 0.124 0.775 0.249
S 0.345 0.695 0.690
S 0.876 0.225 0.751
S 0.655 0.305 0.310

## Properties
ΔE_f (raw) in kcal/mol of atoms: -16.63
Excess energy over the best structure of this formula in the dataset in eV per atom: 0.0000

(3)
Below is crystalline CdTeRuO6 at its relaxed geometry, with properties calculated at the GGA-PBE level.

Lattice parameters (Å, degrees): 5.283 5.283 9.737 90.00 90.00 120.00
Each line ends with the local moment (μB).
Atoms (fractional coordinates):
Ru 0.333 0.667 0.250  1.44
Ru 0.667 0.333 0.750  1.44
Te 0.333 0.667 0.750  0.00
Te 0.667 0.333 0.250  0.00
O 0.001 0.366 0.640  0.07
O 0.366 0.365 0.360  0.07
O 0.999 0.634 0.360  0.07
O 0.635 0.001 0.360  0.07
O 0.001 0.635 0.860  0.07
O 0.635 0.634 0.140  0.07
O 0.366 0.001 0.140  0.07
O 0.634 0.999 0.860  0.07
O 0.999 0.365 0.140  0.07
O 0.365 0.999 0.640  0.07
O 0.365 0.366 0.860  0.07
O 0.634 0.635 0.640  0.07
Cd 0.000 0.000 0.500  0.01
Cd 0.000 0.000 0.000  0.01

## Properties
ΔE_f (raw) in kcal/mol of atoms: -23.17

(4)
Below is crystalline Cs2ZnSb at its relaxed geometry, with properties calculated at the GGA-PBE level.

Lattice parameters (Å, degrees): 16.985 8.767 7.292 130.23 90.00 90.00
Atoms (fractional coordinates):
Cs 0.287 0.824 0.218
Cs 0.032 0.686 0.892
Cs 0.713 0.176 0.782
Cs 0.468 0.186 0.892
Cs 0.213 0.324 0.218
Cs 0.787 0.676 0.782
Cs 0.968 0.314 0.108
Cs 0.532 0.814 0.108
Sb 0.593 0.649 0.467
Sb 0.093 0.851 0.533
Sb 0.907 0.149 0.467
Sb 0.407 0.351 0.533
Zn 0.436 0.626 0.494
Zn 0.936 0.874 0.506
Zn 0.064 0.126 0.494
Zn 0.564 0.374 0.506

## Properties
ΔE_f (raw) in kcal/mol of atoms: -5.57
Excess energy over the best structure of this formula in the dataset in eV per atom: 0.0000

(5)
Below is crystalline MgAl4Ir5 at its relaxed geometry, with properties calculated at the GGA-PBE level.

Lattice parameters (Å, degrees): 3.025 3.025 15.267 90.00 90.00 90.00
Atoms (fractional coordinates):
Al 0.000 0.000 0.800
Al 0.000 0.000 0.200
Al 0.000 0.000 0.400
Al 0.000 0.000 0.600
Ir 0.500 0.500 0.891
Ir 0.500 0.500 0.304
Ir 0.500 0.500 0.696
Ir 0.500 0.500 0.109
Ir 0.500 0.500 0.500
Mg 0.000 0.000 0.000

## Properties
Energy relative to the elements in meV per atom: -879

(6)
Below is crystalline Sm3Dy4Tm5 at its relaxed geometry, with properties calculated at the GGA-PBE level.

Lattice parameters (Å, degrees): 7.081 11.187 12.755 151.29 56.38 129.25
Atoms (fractional coordinates):
Dy 0.832 0.665 0.833
Dy 0.168 0.335 0.167
Dy 0.082 0.165 0.332
Dy 0.918 0.835 0.668
Tm 0.500 0.000 0.500
Tm 0.750 0.501 0.001
Tm 0.668 0.334 0.165
Tm 0.332 0.666 0.835
Tm 0.250 0.499 0.999
Sm 0.583 0.166 0.333
Sm 0.417 0.834 0.667
Sm 0.000 0.000 0.500

## Properties
Excess energy over the best structure of this formula in the dataset in eV per atom: 0.0000
Energy relative to the elements in meV per atom: 20

| no. | total magnetization (μB per cell) | E (eV per cell) |
| --- | --- | --- |
| 1 | 0.0 | -116.70 |
| 2 | 0.0 | -44.41 |
| 3 | 4.0 | -104.25 |
| 4 | 0.0 | -32.28 |
| 5 | 0.0 | -69.66 |
| 6 | 0.0 | -54.68 |